Model P:
LiPm2Al: optimized geometry, PBE-GGA.

Structure (extended XYZ):
```
4
Lattice="0.000 3.730 3.730 3.730 0.000 3.730 3.730 3.730 0.000" Properties=species:S:1:pos:R:3 pbc="T T T"
Li 0.000 0.000 0.000
Pm 1.865 1.865 1.865
Pm 5.595 5.595 5.595
Al 3.730 3.730 3.730
```


Model Q:
LiPm2Al: optimized geometry, PBE-GGA.

Structure (extended XYZ):
```
4
Lattice="5.234 0.000 0.000 0.000 5.234 0.000 0.000 0.000 3.802" Properties=species:S:1:pos:R:3 pbc="T T T"
Li 0.000 0.000 0.000
Pm 0.000 2.617 1.901
Pm 2.617 0.000 1.901
Al 2.617 2.617 0.000
```


How do the structures above rank in stability at the extremes? model P comes first and model Q comes last.